Here is a relaxed structure of Nd5ThZn4 from Alexandria via LeMat-Bulk. Energies are from PBE-GGA.

ρ: 7.558 Mg/m³
Magnetization: 0.0005 μB per atom
Fermi-level density of states: 11.5 states/eV/cell
Formation enthalpy at 0 K: -0.237 eV per atom
Symmetry: P4/mmm

a = 3.6650 Å, b = 3.6650 Å, c = 19.8706 Å
α = 90.00°, β = 90.00°, γ = 90.00°
Sites, in units of the cell vectors:
1 Nd 0.5000 0.5000 0.1255
2 Nd 0.5000 0.5000 0.3143
3 Nd 0.5000 0.5000 0.5000
4 Nd 0.5000 0.5000 0.6857
5 Nd 0.5000 0.5000 0.8745
6 Th 0.0000 0.0000 0.0000
7 Zn 0.0000 0.0000 0.2195
8 Zn 0.0000 0.0000 0.4067
9 Zn 0.0000 0.0000 0.5933
10 Zn 0.0000 0.0000 0.7805

---

Here is a relaxed structure of Nd2ThZn from Alexandria via LeMat-Bulk. Energies are from PBE-GGA.

ρ: 8.440 Mg/m³
Energy relative to the lowest polymorph listed for this composition: 3.382 kcal/mol of atoms
Magnetization: 0.0000 μB per atom
Fermi-level density of states: 6.1 states/eV/cell
Formation enthalpy at 0 K: 0.010 eV per atom
Symmetry: P4/mmm

a = 4.9134 Å, b = 4.8438 Å, c = 4.8438 Å
α = 90.00°, β = 90.00°, γ = 90.00°
Sites, in units of the cell vectors:
1 Zn 0.5000 0.0000 0.0000
2 Nd 0.0000 0.0000 0.5000
3 Nd 0.0000 0.5000 0.0000
4 Th 0.5000 0.5000 0.5000

---

Here is a relaxed structure of Nd5ThZn6 from Alexandria via LeMat-Bulk. Energies are from PBE-GGA.

ρ: 7.461 Mg/m³
Magnetization: 0.0002 μB per atom
Fermi-level density of states: 14.0 states/eV/cell
Formation enthalpy at 0 K: -0.281 eV per atom
Symmetry: P2/m

a = 5.2026 Å, b = 7.3616 Å, c = 8.2470 Å
α = 90.00°, β = 71.48°, γ = 90.00°
Sites, in units of the cell vectors:
1 Zn 0.8343 0.7509 0.3317
2 Zn 0.8342 0.2491 0.3317
3 Zn 0.5000 0.2495 0.0000
4 Zn 0.5000 0.7505 0.0000
5 Zn 0.1658 0.7509 0.6683
6 Zn 0.1657 0.2491 0.6683
7 Nd 0.6663 0.5000 0.6671
8 Nd 0.3340 0.0000 0.3320
9 Nd 0.0000 0.5000 0.0000
10 Nd 0.6660 0.0000 0.6680
11 Nd 0.3337 0.5000 0.3329
12 Th 0.0000 0.0000 0.0000